CeAlPt: relaxed, PBE.

a = 4.4811 Å, b = 4.4811 Å, c = 3.6469 Å
α = 90.00°, β = 90.00°, γ = 120.00°
Closest atoms and distances in Å follow each position.
Sites, in units of the cell vectors:
Ce 0.0000 0.0000 0.0000  6 Al 3.17, 6 Pt 3.17
Al 0.3333 0.6667 0.5000  3 Pt 2.59
Pt 0.6667 0.3333 0.5000  3 Al 2.59

- Total energy: -6.174 eV per atom
- ΔH_f (0 K): -0.935 eV per atom